A plane-wave DFT calculation with PBE-GGA was carried out for Ho12Er3Sc after structural relaxation.

Computed properties:
M_tot: 0.0 Bohr magnetons per cell
formation energy from the elements: 0.03 eV per atom
volume: 30.5 Å³ per atom
space group: P4/mmm, No. 123
density of states at the Fermi level: 1.35 states/eV/atom

abc: 4.961 4.961 19.796
angles: 90.00 90.00 90.00
Fractional coordinates of all 16 atoms:
Ho 0.500 0.500 0.000
Ho 0.500 0.500 0.248
Ho 0.500 0.500 0.500
Ho 0.500 0.500 0.752
Ho 0.500 0.000 0.122
Ho 0.500 0.000 0.374
Ho 0.500 0.000 0.626
Ho 0.500 0.000 0.878
Ho 0.000 0.500 0.122
Ho 0.000 0.500 0.374
Ho 0.000 0.500 0.626
Ho 0.000 0.500 0.878
Er 0.000 0.000 0.248
Er 0.000 0.000 0.500
Er 0.000 0.000 0.752
Sc 0.000 0.000 0.000